NaYMo2O8, optimized geometry, DFT GGA+U; distance to the lowest polymorph of the same formula = 19 meV/atom; SG = I-4m2 (119)
1.0
-0.842 5.567 -2.590
-3.080 -1.028 5.279
6.026 -0.379 1.396
Na Y Mo O
1 1 2 8
Direct
0.000 0.000 0.000
0.250 0.750 0.500
0.750 0.250 0.500
0.500 0.500 0.000
0.388 0.072 0.316
0.341 0.538 0.197
0.341 0.145 0.803
0.756 0.072 0.684
0.855 0.659 0.197
0.928 0.244 0.316
0.928 0.612 0.684
0.462 0.659 0.803

Na3YMo2O6, optimized geometry, DFT GGA+U; raw total energy = -0.235 hartree per atom; SG = C2/m (12)
1.0
-3.480 0.912 4.017
4.943 -1.609 1.431
1.246 5.645 -1.444
Na Y Mo O
3 1 2 6
Direct
0.173 0.827 0.500
0.827 0.173 0.500
0.500 0.500 0.500
0.000 0.000 0.000
0.362 0.638 0.000
0.638 0.362 0.000
0.934 0.574 0.797
0.752 0.752 0.248
0.066 0.426 0.203
0.574 0.934 0.797
0.248 0.248 0.752
0.426 0.066 0.203

Number 1: spin magnetization 0.0 μB per formula unit. Number 2: spin magnetization 2.0 μB per formula unit.